The following is a GGA-PBE calculation of a relaxed BaLiMg crystal, from Alexandria via LeMat-Bulk.

V ... 34.32 Å³ per atom
E_form ... -0.023 eV/atom
ΔE to the lowest computed polymorph ... 0 meV per atom
Theoretical density ... 2.72 g cm⁻³
Space group ... Imma (74)

Cell: 6.623 6.623 6.623 Å, 119.97 119.70 90.28°
Atoms (fractional coordinates):
Ba  0.374  0.124  0.250
Ba  0.626  0.876  0.750
Li  0.000  0.500  0.500
Li  0.500  0.500  0.000
Mg  0.000  0.000  0.500
Mg  0.000  0.500  0.000